DFT (PBE-GGA) results for a geometry-optimized Li2BiH6 structure.

```
Li2BiH6
1.0
-0.822 2.415 4.458
0.927 -2.414 4.437
3.977 1.429 2.918
H Bi Li
6 1 2
Direct
0.287 0.713 0.287
0.713 0.287 0.287
0.287 0.713 0.713
0.713 0.287 0.713
0.713 0.713 0.287
0.287 0.287 0.713
0.000 0.000 0.000
0.750 0.750 0.750
0.250 0.250 0.250
```

Summary:
D(E_F)	0.345	states/eV per atom
uncorrected energy	-2.66	eV per atom
space group	Fm-3m
M_tot	0.00	μB/f.u.

---

DFT (PBE-GGA) results for a geometry-optimized Li2BiH structure.

```
Li2BiH
1.0
5.762 0.000 0.000
0.000 5.762 0.000
2.881 2.881 4.056
H Bi Li
2 2 4
Direct
0.500 0.500 0.000
0.250 0.750 0.500
0.000 0.000 0.000
0.750 0.250 0.500
0.376 0.125 0.250
0.374 0.625 0.250
0.375 0.624 0.750
0.875 0.626 0.750
```

Summary:
D(E_F)	0.323	states/eV per atom
uncorrected energy	-3.06	eV per atom
space group	I4_1/amd
M_tot	0.00	μB/f.u.

---

DFT (PBE-GGA) results for a geometry-optimized Li2BiH2 structure.

```
Li2BiH2
1.0
-1.965 1.432 2.508
-2.851 -0.478 -1.961
-3.124 -4.423 2.509
H Bi Li
2 1 2
Direct
0.750 0.250 0.500
0.250 0.750 0.500
0.000 0.000 0.000
0.303 0.303 0.394
0.697 0.697 0.606
```

Summary:
D(E_F)	0.360	states/eV per atom
uncorrected energy	-2.96	eV per atom
space group	I4/mmm
M_tot	0.00	μB/f.u.

---

> Look up the M_tot of the second one.

0.00 μB/f.u.